! CeAgI4 (PBE, optimized geometry); values from VASP
! - final energy (eV per cell) = -20.7
! - total moment (μB per formula unit) = 1.0
&SYSTEM
  ibrav = 0, nat = 6, ntyp = 3
/
ATOMIC_SPECIES
I 126.90 I.upf
Ag 107.87 Ag.upf
Ce 140.12 Ce.upf
CELL_PARAMETERS angstrom
-2.098 -0.280 -3.969
6.620 -1.685 -3.380
-0.631 -7.598 0.869
ATOMIC_POSITIONS crystal
I 0.500 0.219 0.824
I 0.000 0.745 0.672
I 0.000 0.255 0.328
I 0.500 0.781 0.176
Ag 0.000 0.000 0.000
Ce 0.500 0.000 0.500